Entry 1:
The following is a DFT calculation (PBE) of an optimized crystal structure of Np4S3N2.

Results
As for the energy: -185.58 eV per cell. The volume is 364.6 Å³ per cell.

The structure in CIF format:
```
data_Np4S3N2
_symmetry_space_group_name_H-M 'C 1 2/m 1'
_symmetry_Int_Tables_number 12
_cell_length_a 12.910
_cell_length_b 3.790
_cell_length_c 9.853
_cell_angle_alpha 90.00
_cell_angle_beta 130.87
_cell_angle_gamma 90.00
loop_
_symmetry_equiv_pos_as_xyz
'x,y,z'
'-x,-y,-z'
'-x,y,-z'
'x,-y,z'
'x+1/2,y+1/2,z'
'-x+1/2,-y+1/2,-z'
'-x+1/2,y+1/2,-z'
'x+1/2,-y+1/2,z'
loop_
_atom_site_label
_atom_site_type_symbol
_atom_site_fract_x
_atom_site_fract_y
_atom_site_fract_z
_atom_site_occupancy
Np1 Np 0.100 0.000 0.349 1
Np2 Np 0.202 0.500 0.132 1
S1 S 0.000 0.000 0.000 1
S2 S 0.106 0.500 0.773 1
N1 N 0.212 0.500 0.363 1
```

***

Entry 2:
The following is a DFT calculation (PBE) of an optimized crystal structure of Tb3NpN4.

Results
As for the energy: -144.70 eV per cell. The volume is 234.5 Å³ per cell.

The structure in CIF format:
```
data_Tb3NpN4
_symmetry_space_group_name_H-M 'C m m m'
_symmetry_Int_Tables_number 65
_symmetry_space_group_name_Hall '-C 2 2'
_cell_length_a 6.945
_cell_length_b 9.742
_cell_length_c 3.466
_cell_angle_alpha 90.00
_cell_angle_beta 90.00
_cell_angle_gamma 90.00
loop_
_atom_site_label
_atom_site_type_symbol
_atom_site_fract_x
_atom_site_fract_y
_atom_site_fract_z
_atom_site_occupancy
Tb1 Tb 0.000 0.000 0.000 1
Tb2 Tb 0.250 0.250 0.500 1
Np1 Np 0.000 0.500 0.000 1
N1 N 0.000 0.262 0.000 1
N2 N 0.241 0.500 0.500 1
```

***

Entry 3:
The following is a DFT calculation (PBE) of an optimized crystal structure of NpUN.

Results
As for the energy: -35.18 eV per cell. The volume is 44.9 Å³ per cell.

The structure in CIF format:
```
data_NpUN
_symmetry_space_group_name_H-M 'P 3 m 1'
_symmetry_Int_Tables_number 156
_cell_length_a 3.4160
_cell_length_b 3.4160
_cell_length_c 4.4386
_cell_angle_alpha 90.00
_cell_angle_beta 90.00
_cell_angle_gamma 120.00
loop_
_symmetry_equiv_pos_as_xyz
'x,y,z'
'-y,x-y,z'
'-x+y,-x,z'
'-y,-x,z'
'-x+y,y,z'
'x,x-y,z'
loop_
_atom_site_label
_atom_site_type_symbol
_atom_site_fract_x
_atom_site_fract_y
_atom_site_fract_z
_atom_site_occupancy
Np1 Np 0.0000 0.0000 0.0000 1
U1 U 0.6667 0.3333 0.6601 1
N1 N 0.3333 0.6667 0.3254 1
```